Entry 1:
{"formula": "UTl2Pb3S6", "functional": "PBE-GGA", "state": "relaxed", "spacegroup": "No. 12", "volume_a3_per_atom": 28.2, "formation_energy_uncorrected_ev_per_atom": -0.700, "dft_energy_ev_per_fu": -60.31, "lattice_angstrom": [[-4.245, 0.800, -6.283], [-0.402, -6.383, 4.150], [-3.420, 4.551, 4.393]], "species": ["Tl", "Pb", "S", "S", "Tl", "S", "S", "S", "Pb", "U", "Pb", "S"], "frac_coords": [[0.673, 0.327, 0.000], [0.846, 0.154, 0.500], [0.787, 0.787, 0.252], [0.365, 0.082, 0.238], [0.327, 0.673, 0.000], [0.082, 0.365, 0.238], [0.635, 0.918, 0.762], [0.213, 0.213, 0.748], [0.154, 0.846, 0.500], [0.000, 0.000, 0.000], [0.500, 0.500, 0.500], [0.918, 0.635, 0.762]]}

Entry 2:
{"formula": "HfSbMo2", "functional": "PBE-GGA", "state": "relaxed", "spacegroup": "No. 122", "volume_a3_per_atom": 20.4, "formation_energy_uncorrected_ev_per_atom": 0.479, "dft_energy_ev_per_fu": -33.82, "lattice_angstrom": [[4.041, 0.000, 0.000], [0.000, 4.041, 0.000], [2.021, 2.021, 9.971]], "species": ["Sb", "Mo", "Mo", "Hf", "Mo", "Mo", "Hf", "Sb"], "frac_coords": [[0.250, 0.750, 0.500], [0.173, 0.625, 0.250], [0.375, 0.423, 0.750], [0.000, 0.000, 0.000], [0.875, 0.827, 0.750], [0.577, 0.125, 0.250], [0.750, 0.250, 0.500], [0.500, 0.500, 0.000]]}